The following is a DFT calculation (GGA-PBE) of a geometry-optimized In3TcB structure.

Geometry as CIF:
```
data_In3TcB
_cell_length_a 4.676
_cell_length_b 4.676
_cell_length_c 4.676
_cell_angle_alpha 90.00
_cell_angle_beta 90.00
_cell_angle_gamma 90.00
_symmetry_space_group_name_H-M 'P m -3 m'
_symmetry_Int_Tables_number 221
_symmetry_space_group_name_Hall '-P 4 2 3'
loop_
_atom_site_label
_atom_site_type_symbol
_atom_site_fract_x
_atom_site_fract_y
_atom_site_fract_z
In1 In 0.000 0.000 0.500
Tc1 Tc 0.500 0.500 0.500
B1 B 0.000 0.000 0.000
```

Results
magnetic moment	2.09	μB/cell
crystal system	cubic
total energy	-19.7	eV per cell

=====

The following is a DFT calculation (GGA-PBE) of a geometry-optimized Mg2ScBTe structure.

Geometry as CIF:
```
data_Mg2ScBTe
_cell_length_a 4.545
_cell_length_b 4.545
_cell_length_c 4.824
_cell_angle_alpha 90.00
_cell_angle_beta 90.00
_cell_angle_gamma 90.00
_symmetry_space_group_name_H-M 'P 4/m m m'
_symmetry_Int_Tables_number 123
_symmetry_space_group_name_Hall '-P 4 2'
loop_
_atom_site_label
_atom_site_type_symbol
_atom_site_fract_x
_atom_site_fract_y
_atom_site_fract_z
Mg1 Mg 0.000 0.500 0.000
Sc1 Sc 0.000 0.000 0.500
B1 B 0.000 0.000 0.000
Te1 Te 0.500 0.500 0.500
```

Results
magnetic moment	0.00	μB/cell
crystal system	tetragonal
ΔE_f (raw)	-32.0	kJ per mole of atoms
total energy	-21.0	eV per cell

=====

The following is a DFT calculation (GGA-PBE) of a geometry-optimized MgSc3Bi structure.

Geometry as CIF:
```
data_MgSc3Bi
_cell_length_a 5.204
_cell_length_b 5.204
_cell_length_c 5.204
_cell_angle_alpha 90.00
_cell_angle_beta 90.00
_cell_angle_gamma 90.00
_symmetry_space_group_name_H-M 'P m -3 m'
_symmetry_Int_Tables_number 221
_symmetry_space_group_name_Hall '-P 4 2 3'
loop_
_atom_site_label
_atom_site_type_symbol
_atom_site_fract_x
_atom_site_fract_y
_atom_site_fract_z
Mg1 Mg 0.000 0.000 0.000
Sc1 Sc 0.000 0.000 0.500
Bi1 Bi 0.500 0.500 0.500
```

Results
magnetic moment	0.00	μB/cell
crystal system	cubic
total energy	-22.4	eV per cell

=====

Question: Number 1 is which compound?
Answer: In3TcB